Here is a relaxed PWO4F crystal from Alexandria. Energies are from PBE+U.

* magnetic moment: 2.0 μB per cell
* Fermi-level density of states: 0.00 states/eV/f.u.
* VASP energy: -7.04 eV per atom

Structure (CIF):
```
data_PWO4F
_chemical_formula_sum 'P2 W2 O8 F2'
_space_group_name_H-M_alt 'P -1'
_space_group_IT_number 2
_cell_length_a 5.387
_cell_length_b 6.141
_cell_length_c 7.505
_cell_angle_alpha 108.48
_cell_angle_beta 110.46
_cell_angle_gamma 91.63
loop_
_space_group_symop_operation_xyz
'x,y,z'
'-x,-y,-z'
loop_
_atom_site_label
_atom_site_type_symbol
_atom_site_fract_x
_atom_site_fract_y
_atom_site_fract_z
P1 P 0.013 0.190 0.049
W1 W 0.500 0.500 0.000
W2 W 0.500 0.500 0.500
O1 O 0.160 0.276 0.935
O2 O 0.162 0.283 0.282
O3 O 0.280 0.771 0.013
O4 O 0.418 0.442 0.722
F1 F 0.306 0.753 0.521
```